! Y2Os | Alexandria via LeMat-Bulk | SCAN | single point on PBEsol structure; values from VASP
! formation enthalpy at 0 K	-0.31	eV/atom
! SG	P-62m, No. 189
! volume	206.0	Å³/cell
! total energy	-385.47	eV/cell
&SYSTEM
  ibrav = 0, nat = 9, ntyp = 2
/
ATOMIC_SPECIES
Y 88.91 Y.upf
Os 190.23 Os.upf
CELL_PARAMETERS angstrom
7.5359 0.0000 0.0000
-3.7679 6.5263 0.0000
0.0000 0.0000 4.1877
ATOMIC_POSITIONS crystal
Y 0.0000 0.2572 0.0000
Y 0.0000 0.5892 0.5000
Y 0.2572 0.0000 0.0000
Y 0.4108 0.4108 0.5000
Y 0.5892 0.0000 0.5000
Y 0.7428 0.7428 0.0000
Os 0.0000 0.0000 0.5000
Os 0.3333 0.6667 0.0000
Os 0.6667 0.3333 0.0000


! YOs | Alexandria via LeMat-Bulk | SCAN | single point on PBEsol structure; values from VASP
! formation enthalpy at 0 K	-0.38	eV/atom
! SG	P6_3/mmc, No. 194
! volume	91.2	Å³/cell
! total energy	-200.95	eV/cell
&SYSTEM
  ibrav = 0, nat = 4, ntyp = 2
/
ATOMIC_SPECIES
Y 88.91 Y.upf
Os 190.23 Os.upf
CELL_PARAMETERS angstrom
4.6669 0.0000 0.0000
-2.3334 4.0416 0.0000
0.0000 0.0000 4.8349
ATOMIC_POSITIONS crystal
Y 0.3333 0.6667 0.2500
Y 0.6667 0.3333 0.7500
Os 0.0000 0.0000 0.0000
Os 0.0000 0.0000 0.5000


! YOs | Alexandria via LeMat-Bulk | SCAN | single point on PBEsol structure; values from VASP
! formation enthalpy at 0 K	0.08	eV/atom
! SG	P4/nmm, No. 129
! volume	81.2	Å³/cell
! total energy	-199.14	eV/cell
&SYSTEM
  ibrav = 0, nat = 4, ntyp = 2
/
ATOMIC_SPECIES
Y 88.91 Y.upf
Os 190.23 Os.upf
CELL_PARAMETERS angstrom
3.0100 0.0000 0.0000
0.0000 3.0100 0.0000
0.0000 0.0000 8.9593
ATOMIC_POSITIONS crystal
Y 0.2500 0.2500 0.1790
Y 0.7500 0.7500 0.8210
Os 0.2500 0.2500 0.5847
Os 0.7500 0.7500 0.4153